[1]
Density functional theory data (PBE) for Ac2GaAg3 after structural relaxation.

Unit cell a=4.3863 b=4.4744 c=9.0349 alpha=104.34 beta=104.05 gamma=90.00
Positions (direct):
Ac1 0.1229 0.1229 0.2459
Ac2 0.8764 0.3764 0.7528
Ga1 0.4601 0.9601 0.9202
Ag1 0.7023 0.7023 0.4046
Ag2 0.5375 0.5375 0.0750
Ag3 0.3007 0.8007 0.6014

The total energy is -21.80 eV for the cell shown.

[2]
Density functional theory data (PBE) for Pr6Ho12Tm after structural relaxation.

Unit cell a=8.6994 b=8.6994 c=8.6994 alpha=79.49 beta=79.49 gamma=79.49
Positions (direct):
Pr1 0.7669 0.7668 0.1634
Pr2 0.8366 0.2331 0.2332
Pr3 0.2332 0.8366 0.2331
Pr4 0.2331 0.2332 0.8366
Pr5 0.1634 0.7669 0.7668
Pr6 0.7668 0.1634 0.7669
Ho1 0.8046 0.4870 0.4871
Ho2 0.4871 0.8046 0.4870
Ho3 0.4870 0.4871 0.8046
Ho4 0.1954 0.5130 0.5129
Ho5 0.5129 0.1954 0.5130
Ho6 0.5130 0.5129 0.1954
Ho7 0.1374 0.1375 0.4860
Ho8 0.8625 0.5140 0.8626
Ho9 0.5140 0.8626 0.8625
Ho10 0.8626 0.8625 0.5140
Ho11 0.1375 0.4860 0.1374
Ho12 0.4860 0.1374 0.1375
Tm1 0.0000 0.0000 0.0000

The total energy is -85.65 eV for the cell shown.

[3]
Density functional theory data (PBE) for Cr2InNi after structural relaxation.

Unit cell a=4.2819 b=3.5634 c=3.5634 alpha=90.00 beta=90.00 gamma=90.00
Positions (direct):
Cr1 0.0000 0.0000 0.0000
Cr2 0.0000 0.5000 0.5000
In1 0.5000 0.5000 0.0000
Ni1 0.5000 0.0000 0.5000

The total energy is -26.50 eV for the cell shown.